(1)
A relaxed Li3SnI crystal, computed with PBE.

Summary:
D(E_F) in states/eV/cell: 2.5
E_tot in eV/atom: -2.48
Total moment in μB per atom: 0.000

Lattice parameters (Å, degrees): 5.175 5.175 5.175 90.00 90.00 90.00
Space group Pm-3m (No. 221)
Symmetry-distinct sites (fractional):
Li: 0.000 0.000 0.500 x3
Sn: 0.500 0.500 0.500 x1
I: 0.000 0.000 0.000 x1



(2)
A relaxed LiSnI crystal, computed with PBE.

Summary:
D(E_F) in states/eV/cell: 1.8
E_tot in eV/atom: -2.85
Total moment in μB per atom: 0.000

Lattice parameters (Å, degrees): 3.743 3.743 12.233 90.00 90.00 90.00
Space group I4mm (No. 107)
Symmetry-distinct sites (fractional):
Li: 0.000 0.000 0.000 x2
Sn: 0.000 0.000 0.350 x2
I: 0.000 0.000 0.601 x2



(3)
A relaxed Li2SnI6 crystal, computed with PBE.

Summary:
E_tot in eV/atom: -2.58
Total moment in μB per atom: 0.000

Lattice parameters (Å, degrees): 16.351 16.463 6.867 90.00 114.81 90.00
Space group C2/c (No. 15)
Symmetry-distinct sites (fractional):
Li: 0.247 0.074 0.032 x8
Sn: 0.000 0.252 0.750 x4
I: 0.104 0.161 0.105 x8
I: 0.105 0.344 0.606 x8
I: 0.247 0.083 0.639 x8



(4)
A relaxed Li2SnI crystal, computed with PBE.

Summary:
D(E_F) in states/eV/cell: 10.8
E_tot in eV/atom: -2.51
Total moment in μB per atom: 0.000

Lattice parameters (Å, degrees): 7.331 7.331 7.331 90.00 90.00 90.00
Space group Fm-3m (No. 225)
Symmetry-distinct sites (fractional):
Li: 0.250 0.250 0.250 x8
Sn: 0.000 0.000 0.000 x4
I: 0.000 0.000 0.500 x4



(5)
A relaxed LiSnI3 crystal, computed with PBE.

Summary:
D(E_F) in states/eV/cell: 0.0
E_tot in eV/atom: -2.89
Total moment in μB per atom: 0.000

Lattice parameters (Å, degrees): 4.607 24.312 7.486 90.00 90.00 90.00
Space group Cmc2_1 (No. 36)
Symmetry-distinct sites (fractional):
Li: 0.000 0.116 0.000 x4
Sn: 0.000 0.339 0.082 x4
I: 0.000 0.099 0.368 x4
I: 0.000 0.219 0.827 x4
I: 0.000 0.431 0.353 x4



(6)
A relaxed LiSnI6 crystal, computed with PBE.

Summary:
D(E_F) in states/eV/cell: 2.8
E_tot in eV/atom: -2.26
Total moment in μB per atom: 0.000

Lattice parameters (Å, degrees): 7.048 7.493 7.636 61.83 87.13 65.45
Space group P-1 (No. 2)
Symmetry-distinct sites (fractional):
Li: 0.000 0.000 0.000 x1
Sn: 0.500 0.000 0.500 x1
I: 0.223 0.842 0.739 x2
I: 0.236 0.173 0.106 x2
I: 0.259 0.466 0.471 x2



(7)
A relaxed LiSnI3 crystal, computed with PBE.

Summary:
D(E_F) in states/eV/cell: 0.0
E_tot in eV/atom: -2.59
Total moment in μB per atom: 0.000

Lattice parameters (Å, degrees): 6.190 6.190 6.190 90.00 90.00 90.00
Space group Pm-3m (No. 221)
Symmetry-distinct sites (fractional):
Li: 0.000 0.000 0.000 x1
Sn: 0.500 0.500 0.500 x1
I: 0.000 0.500 0.500 x3



(8)
A relaxed Li4SnI2 crystal, computed with PBE.

Summary:
D(E_F) in states/eV/cell: 7.9
E_tot in eV/atom: -2.51
Total moment in μB per atom: 0.287

Lattice parameters (Å, degrees): 5.493 5.493 14.960 90.00 90.00 90.00
Space group I4/mmm (No. 139)
Symmetry-distinct sites (fractional):
Li: 0.000 0.000 0.184 x4
Li: 0.000 0.500 0.000 x4
Sn: 0.000 0.000 0.000 x2
I: 0.000 0.000 0.362 x4



(9)
A relaxed Li2SnI2 crystal, computed with PBE.

Summary:
D(E_F) in states/eV/cell: 4.6
E_tot in eV/atom: -2.53
Total moment in μB per atom: 0.400

Lattice parameters (Å, degrees): 5.776 5.776 11.474 90.00 90.00 90.00
Space group I4/mmm (No. 139)
Symmetry-distinct sites (fractional):
Li: 0.000 0.000 0.240 x4
Sn: 0.000 0.000 0.500 x2
I: 0.000 0.500 0.250 x4



(10)
A relaxed LiSn3I crystal, computed with PBE.

Summary:
D(E_F) in states/eV/cell: 4.8
E_tot in eV/atom: -2.90
Total moment in μB per atom: 0.000

Lattice parameters (Å, degrees): 5.227 5.227 5.227 90.00 90.00 90.00
Space group Pm-3m (No. 221)
Symmetry-distinct sites (fractional):
Li: 0.000 0.000 0.000 x1
Sn: 0.000 0.000 0.500 x3
I: 0.500 0.500 0.500 x1



(11)
A relaxed LiSnI6 crystal, computed with PBE.

Summary:
D(E_F) in states/eV/cell: 0.3
E_tot in eV/atom: -2.28
Total moment in μB per atom: 0.128

Lattice parameters (Å, degrees): 7.999 14.186 7.453 90.00 116.50 90.00
Space group C2/m (No. 12)
Symmetry-distinct sites (fractional):
Li: 0.000 0.000 0.000 x2
Sn: 0.000 0.500 0.500 x2
I: 0.177 0.500 0.222 x4
I: 0.237 0.142 0.266 x8



(12)
A relaxed SrLi2SnI6 crystal, computed with PBE.

Summary:
D(E_F) in states/eV/cell: 0.0
E_tot in eV/atom: -3.00
Total moment in μB per atom: 0.000

Lattice parameters (Å, degrees): 14.693 14.003 8.200 90.00 100.13 90.00
Space group C2/c (No. 15)
Symmetry-distinct sites (fractional):
Sr: 0.000 0.094 0.250 x4
Li: 0.173 0.415 0.311 x8
Sn: 0.000 0.275 0.750 x4
I: 0.124 0.086 0.629 x8
I: 0.126 0.256 0.112 x8
I: 0.131 0.420 0.628 x8



(13)
A relaxed LiTbSnI6 crystal, computed with PBE.

Summary:
D(E_F) in states/eV/cell: 0.0
E_tot in eV/atom: -3.22
Total moment in μB per atom: 0.000

Lattice parameters (Å, degrees): 7.6575 7.6575 14.0908 90.00 90.00 120.00
Space group P-31c (No. 163)
Symmetry-distinct sites (fractional):
Li: 0.3333 0.6667 0.2500 x2
Tb: 0.3333 0.6667 0.7500 x2
Sn: 0.0000 0.0000 0.0000 x2
I: 0.0042 0.3511 0.1277 x12



(14)
A relaxed LiTc2SnI crystal, computed with PBE.

Summary:
D(E_F) in states/eV/cell: 7.4
E_tot in eV/atom: -4.30
Total moment in μB per atom: 0.450

Lattice parameters (Å, degrees): 4.645 4.645 4.272 90.00 90.00 90.00
Space group P4/mmm (No. 123)
Symmetry-distinct sites (fractional):
Li: 0.000 0.000 0.000 x1
Tc: 0.000 0.500 0.000 x2
Sn: 0.500 0.500 0.500 x1
I: 0.000 0.000 0.500 x1



(15)
A relaxed LiSnTe2I crystal, computed with PBE.

Summary:
D(E_F) in states/eV/cell: 4.6
E_tot in eV/atom: -2.76
Total moment in μB per atom: 0.000

Lattice parameters (Å, degrees): 5.077 5.077 5.863 90.00 90.00 90.00
Space group P4/mmm (No. 123)
Symmetry-distinct sites (fractional):
Li: 0.000 0.000 0.000 x1
Sn: 0.500 0.500 0.500 x1
Te: 0.000 0.500 0.000 x2
I: 0.000 0.000 0.500 x1



(16)
A relaxed LiSnTe2I crystal, computed with PBE.

Summary:
D(E_F) in states/eV/cell: 4.4
E_tot in eV/atom: -2.79
Total moment in μB per atom: 0.000

Lattice parameters (Å, degrees): 5.737 5.737 6.233 90.00 90.00 90.00
Space group P4/mmm (No. 123)
Symmetry-distinct sites (fractional):
Li: 0.000 0.000 0.000 x1
Sn: 0.500 0.500 0.500 x1
Te: 0.000 0.500 0.500 x2
I: 0.500 0.500 0.000 x1



(17)
A relaxed LiTlSnI4 crystal, computed with PBE.

Summary:
D(E_F) in states/eV/cell: 0.0
E_tot in eV/atom: -2.77
Total moment in μB per atom: 0.000

Lattice parameters (Å, degrees): 7.630 8.372 9.319 90.00 106.97 90.00
Space group P2_1/m (No. 11)
Symmetry-distinct sites (fractional):
Li: 0.238 0.250 0.321 x2
Tl: 0.205 0.750 0.051 x2
Sn: 0.217 0.750 0.556 x2
I: 0.007 0.002 0.729 x4
I: 0.470 0.250 0.146 x2
I: 0.478 0.250 0.602 x2



(18)
A relaxed Sr2LiI2 crystal, computed with PBE.

Summary:
D(E_F) in states/eV/cell: 4.7
E_tot in eV/atom: -2.46
Total moment in μB per atom: 0.000

Lattice parameters (Å, degrees): 5.517 5.517 15.815 90.00 90.00 90.00
Space group I4/mmm (No. 139)
Symmetry-distinct sites (fractional):
Sr: 0.000 0.000 0.127 x4
Li: 0.000 0.000 0.500 x2
I: 0.000 0.500 0.250 x4



(19)
A relaxed SrLi4I6 crystal, computed with PBE.

Summary:
D(E_F) in states/eV/cell: 0.0
E_tot in eV/atom: -3.01
Total moment in μB per atom: 0.000

Lattice parameters (Å, degrees): 4.388 14.294 21.914 90.00 90.00 90.00
Space group Cmcm (No. 63)
Symmetry-distinct sites (fractional):
Sr: 0.000 0.156 0.250 x4
Li: 0.000 0.101 0.620 x8
Li: 0.000 0.363 0.538 x8
I: 0.000 0.000 0.000 x4
I: 0.000 0.172 0.750 x4
I: 0.000 0.275 0.083 x8
I: 0.000 0.452 0.657 x8



(20)
A relaxed SrLi2I2 crystal, computed with PBE.

Summary:
D(E_F) in states/eV/cell: 4.5
E_tot in eV/atom: -2.40
Total moment in μB per atom: 0.000

Lattice parameters (Å, degrees): 4.294 4.294 15.708 90.00 90.00 90.00
Space group I4/mmm (No. 139)
Symmetry-distinct sites (fractional):
Sr: 0.000 0.000 0.000 x2
Li: 0.000 0.500 0.250 x4
I: 0.000 0.000 0.382 x4



(21)
A relaxed Sr5Li2I12 crystal, computed with PBE.

Summary:
D(E_F) in states/eV/cell: 0.0
E_tot in eV/atom: -3.16
Total moment in μB per atom: 0.000

Lattice parameters (Å, degrees): 17.215 9.087 11.919 90.00 112.66 90.00
Space group C2/m (No. 12)
Symmetry-distinct sites (fractional):
Sr: 0.000 0.000 0.000 x2
Sr: 0.206 0.500 0.869 x4
Sr: 0.227 0.500 0.471 x4
Li: 0.000 0.313 0.500 x4
I: 0.017 0.500 0.321 x4
I: 0.091 0.000 0.302 x4
I: 0.138 0.249 0.013 x8
I: 0.174 0.251 0.633 x8